(1)
First-principles (PBE) data for a relaxed structure of CaTa2NbO8, as listed in the Alexandria database.

abc: 4.898 4.901 6.387
angles: 89.73 89.73 88.25
Positions (direct):
Ca 0.000 0.000 0.500
Ta 0.489 0.489 0.750
Ta 0.511 0.511 0.250
Nb 0.000 0.000 0.000
O 0.213 0.793 0.220
O 0.691 0.691 0.995
O 0.793 0.213 0.220
O 0.787 0.207 0.780
O 0.309 0.309 0.005
O 0.207 0.787 0.780
O 0.676 0.675 0.501
O 0.324 0.325 0.499

Values from the calculation:
magnetization = 0.01 μB/atom
calculated density = 6.75 g/cm3
V = 12.77 Å³ per atom
crystal system = monoclinic
E_form (uncorrected) = -2767 meV per atom

(2)
First-principles (PBE) data for a relaxed structure of Nd12CuSn6, as listed in the Alexandria database.

abc: 8.555 8.555 8.555
angles: 92.11 92.11 92.11
Positions (direct):
Nd 0.804 0.572 0.450
Nd 0.450 0.804 0.572
Nd 0.572 0.450 0.804
Nd 0.196 0.428 0.550
Nd 0.550 0.196 0.428
Nd 0.428 0.550 0.196
Nd 0.963 0.091 0.319
Nd 0.909 0.681 0.037
Nd 0.681 0.037 0.909
Nd 0.037 0.909 0.681
Nd 0.091 0.319 0.963
Nd 0.319 0.963 0.091
Cu 0.000 0.000 0.000
Sn 0.651 0.864 0.257
Sn 0.743 0.349 0.136
Sn 0.136 0.743 0.349
Sn 0.349 0.136 0.743
Sn 0.257 0.651 0.864
Sn 0.864 0.257 0.651

Values from the calculation:
magnetization = 0.00 μB/atom
calculated density = 6.66 g/cm3
energy of formation = -8.4 eV/f.u.
V = 32.89 Å³ per atom
crystal system = trigonal

(3)
First-principles (PBE) data for a relaxed structure of HoCdPbAu, as listed in the Alexandria database.

abc: 5.125 5.125 5.125
angles: 60.00 60.00 60.00
Positions (direct):
Pb 0.500 0.500 0.500
Au 0.000 0.000 0.000
Ho 0.250 0.250 0.250
Cd 0.750 0.750 0.750

Values from the calculation:
magnetization = 0.00 μB/atom
calculated density = 11.89 g/cm3
energy of formation = -1.5 eV/f.u.
V = 23.80 Å³ per atom
crystal system = cubic

(4)
First-principles (PBE) data for a relaxed structure of Si2PI2, as listed in the Alexandria database.

abc: 7.209 7.209 4.919
angles: 90.00 90.00 90.00
Positions (direct):
I 0.177 0.677 0.500
I 0.677 0.823 0.500
I 0.823 0.323 0.500
I 0.323 0.177 0.500
P 0.000 0.000 0.000
P 0.500 0.500 0.000
Si 0.307 0.807 0.000
Si 0.807 0.693 0.000
Si 0.693 0.193 0.000
Si 0.193 0.307 0.000

Values from the calculation:
magnetization = 0.15 μB/atom
calculated density = 4.43 g/cm3
V = 25.56 Å³ per atom
crystal system = tetragonal
E_form (uncorrected) = 611 meV per atom

(5)
First-principles (PBE) data for a relaxed structure of LaAsBr2, as listed in the Alexandria database.

abc: 6.950 6.950 4.497
angles: 89.84 89.84 34.52
Positions (direct):
As 0.769 0.769 0.626
Br 0.016 0.016 0.124
Br 0.281 0.281 0.126
La 0.434 0.434 0.625

Values from the calculation:
magnetization = 0.00 μB/atom
distance to the lowest polymorph of the same formula = 244 meV/atom
calculated density = 5.04 g/cm3
V = 30.77 Å³ per atom
crystal system = monoclinic
E_form (uncorrected) = -1026 meV per atom

(6)
First-principles (PBE) data for a relaxed structure of CaNd2Zn2, as listed in the Alexandria database.

abc: 5.260 5.260 6.353
angles: 65.53 65.53 59.99
Positions (direct):
Ca 0.000 0.500 0.000
Nd 0.227 0.727 0.319
Nd 0.773 0.273 0.681
Zn 0.578 0.078 0.267
Zn 0.422 0.922 0.733

Values from the calculation:
magnetization = 0.00 μB/atom
distance to the lowest polymorph of the same formula = 0 meV/atom
calculated density = 5.71 g/cm3
energy of formation = -1.1 eV/f.u.
V = 26.74 Å³ per atom
crystal system = trigonal

(7)
First-principles (PBE) data for a relaxed structure of ZnOsSe2, as listed in the Alexandria database.

abc: 3.284 4.539 4.492
angles: 90.00 90.00 90.00
Positions (direct):
Os 0.000 0.500 0.500
Se 0.000 0.000 0.000
Se 0.500 0.500 0.000
Zn 0.500 0.000 0.500

Values from the calculation:
magnetization = 0.00 μB/atom
calculated density = 10.26 g/cm3
V = 16.74 Å³ per atom
crystal system = orthorhombic
E_form (uncorrected) = 770 meV per atom

(8)
First-principles (PBE) data for a relaxed structure of Tb2PmSmIn4, as listed in the Alexandria database.

abc: 5.379 5.379 9.328
angles: 73.24 73.24 60.00
Positions (direct):
Tb 0.750 0.750 0.750
Tb 0.250 0.250 0.250
Pm 0.000 0.000 0.000
Sm 0.500 0.500 0.500
In 0.375 0.375 0.874
In 0.875 0.875 0.376
In 0.125 0.125 0.624
In 0.625 0.625 0.126

Values from the calculation:
magnetization = 0.00 μB/atom
calculated density = 8.08 g/cm3
energy of formation = -3.9 eV/f.u.
V = 27.55 Å³ per atom
crystal system = trigonal

(9)
First-principles (PBE) data for a relaxed structure of BiPdSCl2, as listed in the Alexandria database.

abc: 5.392 5.392 5.284
angles: 90.00 90.00 90.00
Positions (direct):
S 0.000 0.000 0.500
Bi 0.000 0.000 0.000
Pd 0.500 0.500 0.500
Cl 0.000 0.500 0.000
Cl 0.500 0.000 0.000

Values from the calculation:
magnetization = 0.16 μB/atom
distance to the lowest polymorph of the same formula = 270 meV/atom
calculated density = 4.52 g/cm3
V = 30.72 Å³ per atom
crystal system = tetragonal
E_form (uncorrected) = 183 meV per atom

(10)
First-principles (PBE) data for a relaxed structure of MgAl2HgC, as listed in the Alexandria database.

abc: 5.252 5.267 5.252
angles: 90.00 90.00 90.00
Positions (direct):
C 0.500 0.500 0.500
Mg 0.000 0.000 0.000
Hg 0.000 0.500 0.000
Al 0.000 0.000 0.500
Al 0.500 0.000 0.000

Values from the calculation:
magnetization = 0.41 μB/atom
calculated density = 3.33 g/cm3
energy of formation = 9.6 eV/f.u.
V = 29.05 Å³ per atom
crystal system = tetragonal

(11)
First-principles (PBE) data for a relaxed structure of Pm3Dy4Te8, as listed in the Alexandria database.

abc: 8.778 8.783 8.783
angles: 90.03 119.95 119.95
Positions (direct):
Pm 0.500 0.500 0.000
Pm 0.500 0.000 0.500
Pm 0.500 0.500 0.500
Dy 0.500 0.000 0.000
Dy 0.000 0.500 0.000
Dy 0.000 0.000 0.000
Dy 0.000 0.000 0.500
Te 0.506 0.250 0.250
Te 0.000 0.747 0.253
Te 0.994 0.250 0.250
Te 0.500 0.753 0.247
Te 0.500 0.247 0.753
Te 0.006 0.750 0.750
Te 0.000 0.253 0.747
Te 0.494 0.750 0.750

Values from the calculation:
magnetization = 0.00 μB/atom
calculated density = 7.29 g/cm3
V = 31.96 Å³ per atom
crystal system = monoclinic
E_form (uncorrected) = -1397 meV per atom

(12)
First-principles (PBE) data for a relaxed structure of CaZnNiGe2, as listed in the Alexandria database.

abc: 4.113 4.113 6.030
angles: 109.94 109.94 90.00
Positions (direct):
Ca 0.000 0.000 0.000
Zn 0.250 0.750 0.500
Ni 0.750 0.250 0.500
Ge 0.620 0.620 0.239
Ge 0.380 0.380 0.761

Values from the calculation:
magnetization = 0.00 μB/atom
calculated density = 5.75 g/cm3
energy of formation = -2.1 eV/f.u.
V = 17.87 Å³ per atom
crystal system = tetragonal